## LiMg2Cd (PBEsol)

Data for LiMg2Cd after structural relaxation.

Its space group is P4mm (99). Its crystal system is tetragonal. Its calculated formation energy is -0.14 eV/atom.

Lattice parameters (Å, degrees): 3.379 3.379 6.872 90.00 90.00 90.00
Positions (direct):
Li: 0.500 0.500 0.733
Mg: 0.000 0.000 0.978
Mg: 0.500 0.500 0.265
Cd: 0.000 0.000 0.524

=====

## CaLa3 (PBEsol)

Data for CaLa3 after structural relaxation.

Its space group is Cmmm (65). Its crystal system is orthorhombic. Its calculated formation energy is 0.05 eV/atom.

Lattice parameters (Å, degrees): 3.640 6.398 6.398 109.65 90.00 90.00
Positions (direct):
La: 0.500 0.500 0.000
La: 0.500 0.000 0.500
La: 0.000 0.500 0.500
Ca: 0.000 0.000 0.000

=====

## CuHgSe2 (PBEsol)

Data for CuHgSe2 after structural relaxation.

The raw formation energy comes out at -0.099 eV/atom. Its space group is C2/m (12). Its crystal system is monoclinic.

Lattice parameters (Å, degrees): 3.577 4.067 6.601 104.85 90.00 116.09
Positions (direct):
Se: 0.677 0.355 0.713
Se: 0.323 0.645 0.287
Hg: 0.500 0.000 0.000
Cu: 0.000 0.000 0.500

=====

## MgRhCl2 (PBEsol)

Data for MgRhCl2 after structural relaxation.

The calculation puts the relative energy among the computed polymorphs at 0 meV per atom. The raw formation energy comes out at -0.510 eV/atom. Its space group is R-3m (166). Its crystal system is trigonal.

Lattice parameters (Å, degrees): 3.371 3.371 7.737 77.42 77.42 60.00
Site moments in Bohr magnetons follow the coordinates.
Positions (direct):
Cl: 0.101 0.101 0.697  0.01
Cl: 0.899 0.899 0.303  0.01
Rh: 0.000 0.000 0.000  0.56
Mg: 0.500 0.500 0.500  0.00

=====

## MgTlW2 (PBEsol)

Data for MgTlW2 after structural relaxation.

The calculation puts the relative energy among the computed polymorphs at 0 meV per atom. Its space group is Pm (6). Its crystal system is monoclinic. Its calculated formation energy is 0.57 eV/atom.

Lattice parameters (Å, degrees): 2.903 4.222 5.959 90.00 97.63 90.00
Positions (direct):
W: 0.452 0.500 0.234
W: 0.101 0.000 0.035
Tl: 0.495 0.500 0.743
Mg: 0.953 0.000 0.489

=====

## TaMoI3 (PBEsol)

Data for TaMoI3 after structural relaxation.

The raw formation energy comes out at 1.494 eV/atom. Its space group is Pm-3m (221). Its crystal system is cubic.

Lattice parameters (Å, degrees): 5.282 5.282 5.282 90.00 90.00 90.00
Site moments in Bohr magnetons follow the coordinates.
Positions (direct):
I: 0.500 0.000 0.000  0.00
I: 0.000 0.500 0.000  0.00
I: 0.000 0.000 0.500  0.00
Mo: 0.000 0.000 0.000  1.12
Ta: 0.500 0.500 0.500  2.15

=====

Theoretical density readings, ordered: 3555, 5406, 8480, 4465, 13681, 7409 kg/m³